Here is crystalline AcTl2BiO8 at its relaxed geometry from the Alexandria database. Energies are from PBE-GGA.

Cell and atoms, written as POSCAR:
```
AcTl2BiO8
1.0
-3.525 3.525 3.945
3.525 -3.525 3.945
3.525 3.525 -3.945
Ac Tl Bi O
1 2 1 8
direct
0.000 0.000 0.000
0.500 0.500 0.000
0.750 0.250 0.500
0.250 0.750 0.500
0.285 0.091 0.805
0.285 0.480 0.195
0.358 0.023 0.335
0.520 0.715 0.805
0.689 0.023 0.665
0.909 0.715 0.195
0.977 0.311 0.335
0.977 0.642 0.665
```

Computed properties:
- Raw formation energy: -0.90 eV/atom
- Raw total energy: -5.270 eV per atom

***

Here is crystalline SrTeRu2 at its relaxed geometry from the Alexandria database. Energies are from PBE-GGA.

Cell and atoms, written as POSCAR:
```
SrTeRu2
1.0
3.236 0.000 0.000
0.000 4.256 0.000
-1.552 0.000 6.352
Sr Te Ru
1 1 2
direct
0.000 0.000 0.000
0.500 0.000 0.500
0.329 0.500 0.685
0.671 0.500 0.315
```

Computed properties:
- Raw formation energy: 0.43 eV/atom
- Raw total energy: -5.419 eV per atom